# MgTe2SI, optimized geometry, DFT GGA-PBE
# mass density = 4.68 g/cm³
# electronic total energy = -2.45 eV/atom
# crystal system = tetragonal
# E_form (uncorrected) = 25.2 kJ/mol of atoms
data_MgTe2SI
_chemical_formula_sum 'Mg1 Te2 S1 I1'
_space_group_name_H-M_alt 'P 4/m m m'
_space_group_IT_number 123
_space_group_name_Hall '-P 4 2'
_cell_length_a 5.320
_cell_length_b 5.320
_cell_length_c 5.496
_cell_angle_alpha 90.00
_cell_angle_beta 90.00
_cell_angle_gamma 90.00
loop_
_atom_site_label
_atom_site_type_symbol
_atom_site_fract_x
_atom_site_fract_y
_atom_site_fract_z
Mg1 Mg 0.000 0.000 0.000
Te1 Te 0.000 0.500 0.500
S1 S 0.500 0.500 0.500
I1 I 0.500 0.500 0.000